# 1
Tb8Th3: relaxed, GGA-PBE.

Geometry as extended XYZ:
```
11
Lattice="1.806 -1.517 -7.421 1.348 -6.416 4.201 -7.608 1.613 0.380" Properties=species:S:1:pos:R:3 pbc="T T T"
Tb 1.413 -2.126 -4.383
Tb -0.358 -4.148 2.897
Tb -4.913 0.801 -0.973
Tb -3.302 -4.686 -2.105
Tb -1.152 -1.634 -0.734
Tb 0.459 -7.120 -1.866
Tb -4.096 -2.172 -5.736
Tb -5.867 -4.194 1.543
Th -3.130 -2.402 2.291
Th -2.901 0.048 -3.520
Th -6.031 -2.353 -1.230
```

Space-group type ... R-3 (148)
Electronic total energy ... -4.918 eV per atom
E_form ... 0.47 eV per atom
Offset from the most stable computed form ... 0.0 meV per atom

# 2
Rb2NaClO: relaxed, GGA-PBE.

Geometry as extended XYZ:
```
5
Lattice="5.662 0.000 0.000 0.000 5.662 0.000 0.000 0.000 4.433" Properties=species:S:1:pos:R:3 pbc="T T T"
Na 0.000 0.000 2.216
O 0.000 0.000 0.000
Rb 0.000 2.831 0.000
Rb 2.831 0.000 0.000
Cl 2.831 2.831 2.216
```

Space-group type ... P4/mmm (123)
Electronic total energy ... -3.377 eV per atom
Formation energy (no corrections) ... -1.365 eV/atom

# 3
InW2Br: relaxed, GGA-PBE.

Geometry as extended XYZ:
```
4
Lattice="-2.435 4.293 0.461 -3.231 -0.953 3.637 4.904 -0.720 0.041" Properties=species:S:1:pos:R:3 pbc="T T T"
Br -2.833 1.670 2.049
W 0.000 0.000 0.000
W -0.580 -0.001 2.863
In -0.182 2.622 1.275
```

Space-group type ... I-4m2 (119)
Electronic total energy ... -6.433 eV per atom
Formation energy (no corrections) ... 1.146 eV/atom
Offset from the most stable computed form ... 815.3 meV per atom

# 4
Zr2Be2ZnIr5: relaxed, GGA-PBE.

Geometry as extended XYZ:
```
20
Lattice="3.231 0.000 0.000 0.000 9.419 0.000 0.000 0.000 9.419" Properties=species:S:1:pos:R:3 pbc="T T T"
Zr 0.000 6.374 1.664
Zr 0.000 3.045 7.755
Zr 0.000 1.664 3.045
Zr 0.000 7.755 6.374
Be 0.000 1.152 5.861
Be 0.000 8.268 3.558
Be 0.000 5.861 8.268
Be 0.000 3.558 1.152
Zn 0.000 0.000 0.000
Zn 0.000 4.710 4.710
Ir 1.615 1.996 0.640
Ir 1.615 7.423 8.779
Ir 1.615 0.640 7.423
Ir 1.615 6.706 4.069
Ir 1.615 8.779 1.996
Ir 1.615 2.713 5.350
Ir 1.615 5.350 6.706
Ir 1.615 4.069 2.713
Ir 1.615 4.710 0.000
Ir 1.615 0.000 4.710
```

Space-group type ... P4/mbm (127)
Electronic total energy ... -7.749 eV per atom
E_form ... -0.74 eV per atom

# 5
Al4ZnAg7: relaxed, GGA-PBE.

Geometry as extended XYZ:
```
12
Lattice="-3.433 0.624 -3.175 3.217 -0.092 -7.002 -2.443 -6.125 -2.066" Properties=species:S:1:pos:R:3 pbc="T T T"
Al -2.925 -3.491 -4.532
Al 0.267 -2.102 -7.711
Al -2.660 -5.517 -8.722
Al 0.001 -0.076 -3.521
Zn 0.000 0.000 0.000
Ag -1.482 -3.247 -9.550
Ag -1.177 -2.347 -2.693
Ag 1.465 -1.280 -5.341
Ag -4.124 -4.313 -6.903
Ag -1.067 -4.177 -6.676
Ag -1.717 0.312 -1.587
Ag -1.591 -1.417 -5.567
```

Space-group type ... C2/m (12)
Electronic total energy ... -2.911 eV per atom
E_form ... 0.11 eV per atom
Offset from the most stable computed form ... 133.9 meV per atom

# 6
AcLaTc: relaxed, GGA-PBE.

Geometry as extended XYZ:
```
12
Lattice="5.720 0.000 0.000 0.000 7.381 0.000 0.000 0.000 8.733" Properties=species:S:1:pos:R:3 pbc="T T T"
La 4.290 1.334 5.979
La 1.430 5.025 7.120
La 1.430 6.047 2.754
La 4.290 2.356 1.613
Tc 4.290 0.209 3.735
Tc 1.430 3.900 0.632
Tc 1.430 7.172 4.998
Tc 4.290 3.481 8.101
Ac 4.290 5.095 5.017
Ac 1.430 1.405 8.082
Ac 1.430 2.286 3.715
Ac 4.290 5.976 0.651
```

Space-group type ... Pnma (62)
Electronic total energy ... -6.288 eV per atom
E_form ... 0.18 eV per atom

# 7
PuSc2Bi: relaxed, GGA-PBE.

Geometry as extended XYZ:
```
4
Lattice="3.384 0.000 0.000 1.692 2.930 0.000 1.692 0.977 10.338" Properties=species:S:1:pos:R:3 pbc="T T T"
Sc 1.692 0.977 2.581
Sc 5.076 2.930 7.757
Bi 0.000 0.000 0.000
Pu 3.384 1.954 5.169
```

Space-group type ... R-3m (166)
Electronic total energy ... -7.810 eV per atom
E_form ... -0.09 eV per atom
Offset from the most stable computed form ... 155.5 meV per atom

# 8
Tl2Ag2Cl7: relaxed, GGA-PBE.

Geometry as extended XYZ:
```
22
Lattice="-2.308 6.218 -3.269 -6.130 -4.130 0.202 1.329 4.001 13.390" Properties=species:S:1:pos:R:3 pbc="T T T"
Tl -1.569 1.717 1.602
Tl -1.259 2.756 8.619
Tl -5.850 3.332 1.703
Tl -5.540 4.371 8.721
Ag -4.719 1.359 5.131
Ag -4.300 -0.642 -0.373
Ag -2.809 6.730 10.695
Ag -2.390 4.730 5.192
Cl -2.895 -0.393 4.958
Cl -1.988 -0.776 0.754
Cl -3.247 2.953 3.342
Cl -5.731 -2.948 3.488
Cl -0.382 6.613 9.974
Cl -0.280 4.048 6.501
Cl -2.957 3.940 10.377
Cl -4.152 2.148 -0.055
Cl -6.828 2.040 3.821
Cl -6.727 -0.524 0.348
Cl -1.378 9.036 6.834
Cl -3.862 3.135 6.980
Cl -5.121 6.865 9.569
Cl -4.214 6.482 5.364
```

Space-group type ... C2/c (15)
Electronic total energy ... -2.692 eV per atom
Formation energy (no corrections) ... -0.568 eV/atom
Offset from the most stable computed form ... 0.0 meV per atom